No. 1
Here is crystalline NdLu2Ga at its relaxed geometry from Alexandria via LeMat-Bulk. Energies are from GGA-PBE.

Calculated values
**Energy above the lowest structure with this stoichiometry**: 0.069 eV per atom
**Symmetry**: P4/mmm, No. 123
**Formation enthalpy at 0 K**: -224 meV per atom
**Calculated total energy**: -4.433 eV per atom

abc: 4.6933 4.7258 4.7258
angles: 90.00 90.00 90.00
Fractional positions:
Lu 0.0000 0.0000 0.5000
Lu 0.0000 0.5000 0.0000
Nd 0.5000 0.5000 0.5000
Ga 0.5000 0.0000 0.0000


No. 2
Here is crystalline Co2H2Ru at its relaxed geometry from Alexandria via LeMat-Bulk. Energies are from GGA-PBE.

Calculated values
**Energy above the lowest structure with this stoichiometry**: 0.000 eV per atom
**Symmetry**: I4/mmm, No. 139
**Calculated total energy**: -5.797 eV per atom

abc: 3.1564 3.1564 4.5555
angles: 69.73 69.73 90.00
Fractional positions:
H 0.7500 0.2500 0.5000
H 0.2500 0.7500 0.5000
Co 0.6673 0.6673 0.6654
Co 0.3327 0.3327 0.3346
Ru 0.0000 0.0000 0.0000


No. 3
Here is crystalline SrTm2In at its relaxed geometry from Alexandria via LeMat-Bulk. Energies are from GGA-PBE.

Calculated values
**Energy above the lowest structure with this stoichiometry**: 0.214 eV per atom
**Symmetry**: R-3m, No. 166
**Formation enthalpy at 0 K**: 112 meV per atom
**Calculated total energy**: -3.229 eV per atom

abc: 3.6289 3.6289 12.0851
angles: 81.37 81.37 60.00
Fractional positions:
In 0.5000 0.5000 0.5000
Tm 0.0997 0.0997 0.7010
Tm 0.9003 0.9003 0.2990
Sr 0.0000 0.0000 0.0000


No. 4
Here is crystalline Na3TmPa3Te8 at its relaxed geometry from Alexandria via LeMat-Bulk. Energies are from GGA-PBE.

Calculated values
**Formation energy (no corrections)**: -0.9537 eV per atom
**Symmetry**: R-3m, No. 166
**Calculated total energy**: -5.090 eV per atom

abc: 8.6617 8.6611 9.2692
angles: 117.86 90.00 120.00
Site moments in Bohr magnetons follow the coordinates.
Fractional positions:
Pa 0.0000 0.5000 0.5000  1.35
Pa 0.5000 0.0000 0.5000  1.34
Pa 0.5000 0.5000 0.5000  1.35
Na 0.0000 0.0000 0.0000  0.00
Na 0.5000 0.5000 0.0000  0.00
Na 0.0000 0.5000 0.0000  0.00
Te 0.2433 0.4866 0.7333  -0.03
Te 0.2433 0.9901 0.7333  -0.03
Te 0.7567 0.5134 0.2667  -0.03
Te 0.7567 0.0099 0.2667  -0.03
Te 0.2532 0.5063 0.2596  -0.03
Te 0.2532 0.0099 0.2667  -0.03
Te 0.7468 0.9901 0.7333  -0.03
Te 0.7468 0.4937 0.7404  -0.03
Tm 0.0000 0.0000 0.5000  0.08